No. 1
First-principles (PBE) data for crystalline LaPr3Co at its relaxed geometry, as listed in Alexandria.

Cell and atoms, written as POSCAR:
```
LaPr3Co
1.0
-6.650 -2.142 2.665
2.457 -5.022 -4.966
4.933 0.494 5.598
Pr La Co
6 2 2
Cartesian
3.209 -4.130 -2.023
5.521 -3.379 0.850
3.786 -0.967 3.202
-4.680 -3.119 2.503
1.832 -4.412 1.365
-1.202 -2.553 1.106
-0.470 -5.145 -1.498
0.625 -2.525 4.474
0.828 -3.022 -1.463
1.671 -0.644 5.725
```

Output
Energy relative to the elements (eV/atom): -0.06
Total magnetic moment (μB per cell): 0.00
Relative energy among the computed polymorphs (eV/atom): 0.000

No. 2
First-principles (PBE) data for crystalline LaPrCo3 at its relaxed geometry, as listed in Alexandria.

Cell and atoms, written as POSCAR:
```
LaPrCo3
1.0
3.988 0.000 0.000
0.000 4.190 -0.801
0.000 0.162 12.203
Co Pr La
6 2 2
Cartesian
2.991 1.514 7.916
0.997 1.721 8.997
2.991 2.631 2.405
2.991 2.200 0.152
0.997 2.838 3.486
0.997 2.151 11.250
2.991 0.921 4.816
0.997 3.431 6.586
0.997 0.315 1.650
2.991 4.036 9.753
```

Output
Energy relative to the elements (eV/atom): -0.06
Total magnetic moment (μB per cell): 3.55

No. 3
First-principles (PBE) data for crystalline LaPr6Co3 at its relaxed geometry, as listed in Alexandria.

Cell and atoms, written as POSCAR:
```
LaPr6Co3
1.0
7.307 0.000 0.000
0.000 8.711 -0.407
0.000 0.165 8.719
Pr Co La
12 6 2
Cartesian
6.261 4.402 8.470
4.490 2.307 2.213
4.204 2.858 5.843
6.692 0.702 8.146
2.608 8.740 3.837
0.836 6.569 6.099
4.490 6.517 6.155
0.550 6.018 2.469
3.038 8.175 0.166
0.836 2.359 2.157
6.261 0.136 4.475
2.608 4.474 -0.158
5.924 8.465 1.556
2.270 0.412 6.756
2.389 4.355 4.245
6.043 4.521 4.067
2.270 2.108 8.344
5.924 6.769 -0.032
0.756 3.105 5.579
4.410 5.771 2.733
```

Output
Energy relative to the elements (eV/atom): 0.06
Total magnetic moment (μB per cell): 0.00